Computed, not measured: a geometry-optimized TbCeScSn structure at the PBE level of DFT.

Values from the calculation:
- Size of the total moment: 1.49 μB/f.u.
- Energy relative to the elements: -4.8 kcal/mol of atoms
- Total DFT energy (no corrections): -5.43 eV per atom

a = 5.2542 Å, b = 5.2542 Å, c = 5.2542 Å
α = 60.00°, β = 60.00°, γ = 60.00°
Closest atoms and distances in Å follow each position.
Element x y z (fractional)
Tb 0.0000 0.0000 0.0000  4 Sn 3.22, 4 Ce 3.22
Ce 0.2500 0.2500 0.2500  4 Sc 3.22, 4 Tb 3.22
Sc 0.5000 0.5000 0.5000  4 Ce 3.22, 4 Sn 3.22
Sn 0.7500 0.7500 0.7500  4 Sc 3.22, 4 Tb 3.22